Here is a geometry-optimized Ce3N4 structure from Alexandria. Energies are from PBE-GGA.

The crystal system is cubic. For the total energy, the calculation gives -240.558 eV/cell.

Lattice parameters (Å, degrees): 7.4320 7.4320 7.4320 90.00 90.00 90.00
Space group I-43d (No. 220)
One atom of each set of equivalent atoms:
Ce1 0.0000 0.2500 0.3750 [12 per cell]
N1 0.0541 0.0541 0.0541 [16 per cell]



Here is a geometry-optimized BiSbS2O structure from Alexandria. Energies are from PBE-GGA.

The crystal system is tetragonal. For the total energy, the calculation gives -48.704 eV/cell.

Lattice parameters (Å, degrees): 3.9258 3.9258 13.9817 90.00 90.00 90.00
Space group P4/nmm (No. 129, origin choice 2)
One atom of each set of equivalent atoms:
Bi1 0.2500 0.2500 0.0923 [2 per cell]
Sb1 0.2500 0.2500 0.6342 [2 per cell]
S1 0.2500 0.2500 0.3865 [2 per cell]
S2 0.2500 0.2500 0.8079 [2 per cell]
O1 0.2500 0.7500 0.0000 [2 per cell]



Here is a geometry-optimized Al2VMo2 structure from Alexandria. Energies are from PBE-GGA.

The crystal system is tetragonal. For the formation energy, the calculation gives -0.065 eV per atom. For the total energy, the calculation gives -77.177 eV/cell.

Lattice parameters (Å, degrees): 6.6760 6.6760 3.3953 90.00 90.00 90.00
Space group P4/mbm (No. 127)
One atom of each set of equivalent atoms:
Al1 0.1305 0.3695 0.0000 [4 per cell]
V1 0.0000 0.0000 0.0000 [2 per cell]
Mo1 0.1720 0.6720 0.5000 [4 per cell]